[1]
# CeHoZrSc

A relaxed structure of CeHoZrSc (PBE, the Alexandria database).

Lattice parameters (Å, degrees): 7.523 7.523 7.523 90.00 90.00 90.00
Space group F-43m (No. 216)
Unique sites:
Ce (0.000, 0.000, 0.000) [4 per cell]
Ho (0.000, 0.000, 0.500) [4 per cell]
Zr (0.250, 0.250, 0.750) [4 per cell]
Sc (0.250, 0.250, 0.250) [4 per cell]

Output
energy of formation: 0.1690 eV per atom
crystal system: cubic


[2]
# ZrAl2Se

A relaxed structure of ZrAl2Se (PBE, the Alexandria database).

Lattice parameters (Å, degrees): 4.053 4.053 9.164 90.00 90.00 90.00
Space group I-4m2 (No. 119)
Unique sites:
Zr (0.000, 0.000, 0.000) [2 per cell]
Al (0.000, 0.000, 0.500) [2 per cell]
Al (0.000, 0.500, 0.750) [2 per cell]
Se (0.000, 0.500, 0.250) [2 per cell]

Output
formation energy from raw total energies: -276 meV/atom
crystal system: tetragonal


[3]
# Ac4Sm6Dy

A relaxed structure of Ac4Sm6Dy (PBE, the Alexandria database).

Lattice parameters (Å, degrees): 7.150 7.150 16.678 90.00 90.00 90.00
Space group I-42m (No. 121)
Unique sites:
Ac (0.195, 0.195, 0.320) [8 per cell]
Sm (0.000, 0.500, 0.000) [4 per cell]
Sm (0.169, 0.169, 0.102) [8 per cell]
Dy (0.000, 0.000, 0.500) [2 per cell]

Output
energy of formation: 0.2594 eV per atom
crystal system: tetragonal


[4]
# VSb2TeI

A relaxed structure of VSb2TeI (PBE, the Alexandria database).

Lattice parameters (Å, degrees): 5.263 5.263 5.084 90.00 90.00 90.00
Space group P4/mmm (No. 123)
Unique sites:
V (0.000, 0.000, 0.000) [1 per cell]
Sb (0.000, 0.500, 0.000) [2 per cell]
Te (0.000, 0.000, 0.500) [1 per cell]
I (0.500, 0.500, 0.500) [1 per cell]

Output
formation energy from raw total energies: 150 meV/atom
crystal system: tetragonal
energy relative to the lowest polymorph listed for this composition: 0.00 eV/f.u.


[5]
# Th8Co3RuS4

A relaxed structure of Th8Co3RuS4 (PBE, the Alexandria database).

Lattice parameters (Å, degrees): 7.9805 7.9805 21.2532 90.00 90.00 120.00
Space group R-3m (No. 166, hexagonal axes)
Unique sites:
Th (0.0000, 0.0000, 0.2393) [6 per cell]
Th (0.0035, 0.5018, 0.7591) [18 per cell]
Co (0.0000, 0.5000, 0.5000) [9 per cell]
Ru (0.0000, 0.0000, 0.5000) [3 per cell]
S (0.0000, 0.0000, 0.0000) [3 per cell]
S (0.0000, 0.5000, 0.0000) [9 per cell]

Output
formation energy from raw total energies: -1032 meV/atom
crystal system: trigonal


[6]
# TcPt2WC

A relaxed structure of TcPt2WC (PBE, the Alexandria database).

Lattice parameters (Å, degrees): 4.897 4.897 3.718 90.00 90.00 90.00
Space group P4/mmm (No. 123)
Unique sites:
Tc (0.000, 0.000, 0.000) [1 per cell]
Pt (0.000, 0.500, 0.000) [2 per cell]
W (0.500, 0.500, 0.500) [1 per cell]
C (0.000, 0.000, 0.500) [1 per cell]

Output
energy of formation: 1.7282 eV per atom
crystal system: tetragonal


[7]
# Pm4PrDy10

A relaxed structure of Pm4PrDy10 (PBE, the Alexandria database).

Lattice parameters (Å, degrees): 9.848 9.848 10.879 90.00 90.00 90.00
Space group I4/m (No. 87)
Unique sites:
Pm (0.052, 0.287, 0.000) [8 per cell]
Pr (0.000, 0.000, 0.500) [2 per cell]
Dy (0.000, 0.500, 0.250) [4 per cell]
Dy (0.123, 0.218, 0.331) [16 per cell]

Output
energy of formation: 0.4448 eV per atom
crystal system: tetragonal


[8]
# NdThCdRu

A relaxed structure of NdThCdRu (PBE, the Alexandria database).

Lattice parameters (Å, degrees): 7.370 7.370 7.370 90.00 90.00 90.00
Space group F-43m (No. 216)
Unique sites:
Nd (0.000, 0.000, 0.000) [4 per cell]
Th (0.000, 0.000, 0.500) [4 per cell]
Cd (0.250, 0.250, 0.250) [4 per cell]
Ru (0.250, 0.250, 0.750) [4 per cell]

Output
energy of formation: -0.1416 eV per atom
crystal system: cubic


[9]
# Li2CaCd

A relaxed structure of Li2CaCd (PBE, the Alexandria database).

Lattice parameters (Å, degrees): 5.9074 5.9074 28.6659 90.00 90.00 120.00
Space group R-3m (No. 166, hexagonal axes)
Unique sites:
Li (0.0054, 0.5027, 0.0812) [18 per cell]
Ca (0.0000, 0.0000, 0.0000) [3 per cell]
Ca (0.0000, 0.0000, 0.1434) [6 per cell]
Cd (0.0000, 0.0000, 0.3322) [6 per cell]
Cd (0.0000, 0.0000, 0.5000) [3 per cell]

Output
energy of formation: -0.1843 eV per atom
crystal system: trigonal
energy relative to the lowest polymorph listed for this composition: 0.00 eV/f.u.


[10]
# In2AsPt

A relaxed structure of In2AsPt (PBE, the Alexandria database).

Lattice parameters (Å, degrees): 4.330 4.330 8.668 90.00 90.00 90.00
Space group I-4m2 (No. 119)
Unique sites:
In (0.000, 0.000, 0.000) [2 per cell]
In (0.000, 0.500, 0.250) [2 per cell]
As (0.000, 0.000, 0.500) [2 per cell]
Pt (0.000, 0.500, 0.750) [2 per cell]

Output
energy of formation: 0.0521 eV per atom
crystal system: tetragonal


[11]
# K2Cu2RhSe4

A relaxed structure of K2Cu2RhSe4 (PBE, the Alexandria database).

Lattice parameters (Å, degrees): 14.828 3.945 7.541 90.00 110.78 90.00
Space group C2/m (No. 12)
Unique sites:
K (0.131, 0.000, 0.062) [4 per cell]
Cu (0.194, 0.500, 0.488) [4 per cell]
Rh (0.000, 0.000, 0.500) [2 per cell]
Se (0.019, 0.500, 0.296) [4 per cell]
Se (0.183, 0.000, 0.671) [4 per cell]

Output
formation energy from raw total energies: -583 meV/atom
crystal system: monoclinic


[12]
# FeAg2I

A relaxed structure of FeAg2I (PBE, the Alexandria database).

Lattice parameters (Å, degrees): 6.976 6.976 6.976 90.00 90.00 90.00
Space group Fm-3m (No. 225)
Unique sites:
Fe (0.000, 0.000, 0.000) [4 per cell]
Ag (0.250, 0.250, 0.250) [8 per cell]
I (0.000, 0.000, 0.500) [4 per cell]

Output
formation energy from raw total energies: 821 meV/atom
crystal system: cubic


[13]
# PrNdPdAu

A relaxed structure of PrNdPdAu (PBE, the Alexandria database).

Lattice parameters (Å, degrees): 4.766 3.933 11.065 90.00 90.00 90.00
Space group Amm2 (No. 38)
Unique sites:
Pr (0.000, 0.000, 0.000) [2 per cell]
Nd (0.500, 0.000, 0.275) [2 per cell]
Pd (0.000, 0.000, 0.724) [2 per cell]
Au (0.500, 0.000, 0.555) [2 per cell]

Output
energy of formation: -0.7945 eV per atom
crystal system: orthorhombic
energy relative to the lowest polymorph listed for this composition: 0.00 eV/f.u.


[14]
# NbIrOs3

A relaxed structure of NbIrOs3 (PBE, the Alexandria database).

Lattice parameters (Å, degrees): 4.657 4.657 4.657 90.00 90.00 90.00
Space group Pm-3m (No. 221)
Unique sites:
Nb (0.000, 0.000, 0.000) [1 per cell]
Ir (0.500, 0.500, 0.500) [1 per cell]
Os (0.000, 0.000, 0.500) [3 per cell]

Output
energy of formation: 2.6197 eV per atom
crystal system: cubic
energy relative to the lowest polymorph listed for this composition: 7.08 eV/f.u.


[15]
# AcCeAu2

A relaxed structure of AcCeAu2 (PBE, the Alexandria database).

Lattice parameters (Å, degrees): 6.181 4.862 8.068 90.00 109.60 90.00
Space group P2_1/m (No. 11)
Unique sites:
Ac (0.225, 0.250, 0.427) [2 per cell]
Ce (0.228, 0.250, 0.933) [2 per cell]
Au (0.319, 0.750, 0.186) [2 per cell]
Au (0.332, 0.750, 0.725) [2 per cell]

Output
energy of formation: -0.7107 eV per atom
crystal system: monoclinic
energy relative to the lowest polymorph listed for this composition: 0.00 eV/f.u.


[16]
# SbTe2AuC

A relaxed structure of SbTe2AuC (PBE, the Alexandria database).

Lattice parameters (Å, degrees): 5.514 5.514 5.314 90.00 90.00 90.00
Space group P4/mmm (No. 123)
Unique sites:
Sb (0.000, 0.000, 0.000) [1 per cell]
Te (0.000, 0.500, 0.500) [2 per cell]
Au (0.000, 0.000, 0.500) [1 per cell]
C (0.500, 0.500, 0.000) [1 per cell]

Output
formation energy from raw total energies: 1876 meV/atom
crystal system: tetragonal
energy relative to the lowest polymorph listed for this composition: 4.14 eV/f.u.


[17]
# BaTaTe

A relaxed structure of BaTaTe (PBE, the Alexandria database).

Lattice parameters (Å, degrees): 4.207 4.207 11.155 90.00 90.00 90.00
Space group P4/nmm (No. 129, origin choice 2)
Unique sites:
Ba (0.250, 0.250, 0.178) [2 per cell]
Ta (0.250, 0.750, 0.500) [2 per cell]
Te (0.250, 0.250, 0.674) [2 per cell]

Output
formation energy from raw total energies: -357 meV/atom
crystal system: tetragonal
energy relative to the lowest polymorph listed for this composition: 0.00 eV/f.u.


[18]
# Cd2FeHg

A relaxed structure of Cd2FeHg (PBE, the Alexandria database).

Lattice parameters (Å, degrees): 4.194 4.194 8.741 90.00 90.00 90.00
Space group I4/mmm (No. 139)
Unique sites:
Cd (0.000, 0.500, 0.250) [4 per cell]
Fe (0.000, 0.000, 0.000) [2 per cell]
Hg (0.000, 0.000, 0.500) [2 per cell]

Output
energy of formation: 0.3658 eV per atom
crystal system: tetragonal


[19]
# AlTl

A relaxed structure of AlTl (PBE, the Alexandria database).

Lattice parameters (Å, degrees): 8.908 8.908 5.000 90.00 90.00 90.00
Space group I4/mmm (No. 139)
Unique sites:
Al (0.156, 0.156, 0.000) [8 per cell]
Tl (0.000, 0.295, 0.500) [8 per cell]

Output
energy of formation: 0.2620 eV per atom
crystal system: tetragonal


[20]
# MnHgSe

A relaxed structure of MnHgSe (PBE, the Alexandria database).

Lattice parameters (Å, degrees): 3.2371 3.2371 19.1734 90.00 90.00 120.00
Space group R3m (No. 160, hexagonal axes)
Unique sites:
Mn (0.0000, 0.0000, 0.0000) [3 per cell]
Hg (0.0000, 0.0000, 0.5576) [3 per cell]
Se (0.0000, 0.0000, 0.4051) [3 per cell]

Output
formation energy from raw total energies: 14 meV/atom
crystal system: trigonal
energy relative to the lowest polymorph listed for this composition: 0.50 eV/f.u.